Run one
Pm2Sm12Tm5 | PBE | relaxed

a = 11.6318 Å, b = 8.6881 Å, c = 9.3638 Å
α = 70.91°, β = 90.00°, γ = 132.02°
Closest atoms and distances in Å follow each position.
Atoms (fractional coordinates):
Sm (0.8280, 0.2156, 0.5837)  4 Sm 3.30-3.57, 3 Tm 3.49-3.63, 1 Pm 3.52
Sm (0.8836, 0.7672, 0.9405)  4 Tm 3.41-3.74, 4 Sm 3.48-3.64, 2 Pm 3.69
Sm (0.0486, 0.6060, 0.8023)  1 Tm 3.29, 5 Sm 3.30-3.57, 1 Pm 3.52
Sm (0.4427, 0.3940, 0.1977)  1 Tm 3.29, 5 Sm 3.30-3.57, 1 Pm 3.52
Sm (0.4217, 0.8435, 0.7835)  5 Sm 3.30-3.64, 2 Tm 3.39-3.56
Sm (0.5783, 0.1565, 0.2165)  5 Sm 3.30-3.64, 2 Tm 3.39-3.56
Sm (0.5573, 0.6060, 0.8023)  1 Tm 3.29, 5 Sm 3.30-3.57, 1 Pm 3.52
Sm (0.9514, 0.3940, 0.1977)  1 Tm 3.29, 5 Sm 3.30-3.57, 1 Pm 3.52
Sm (0.1164, 0.2328, 0.0595)  4 Tm 3.41-3.74, 4 Sm 3.48-3.64, 2 Pm 3.69
Sm (0.6125, 0.7844, 0.4163)  4 Sm 3.30-3.57, 3 Tm 3.49-3.63, 1 Pm 3.52
Sm (0.3875, 0.2156, 0.5837)  4 Sm 3.30-3.57, 3 Tm 3.49-3.63, 1 Pm 3.52
Sm (0.1720, 0.7844, 0.4163)  4 Sm 3.30-3.57, 3 Tm 3.49-3.63, 1 Pm 3.52
Tm (0.8024, 0.6049, 0.3402)  9 Sm 3.41-3.74, 2 Tm 3.48-3.59
Tm (0.1976, 0.3951, 0.6598)  9 Sm 3.41-3.74, 2 Tm 3.48-3.59
Tm (0.6900, 0.3801, 0.7660)  6 Sm 3.29-3.54, 2 Pm 3.59, 2 Tm 3.59-3.67
Tm (0.3100, 0.6199, 0.2340)  6 Sm 3.29-3.54, 2 Pm 3.59, 2 Tm 3.59-3.67
Tm (0.0000, 0.0000, 0.5000)  4 Tm 3.48-3.67, 6 Sm 3.72-3.75
Pm (0.7236, 0.0000, 0.0000)  10 Sm 3.52-3.76, 2 Tm 3.59
Pm (0.2764, 0.0000, 0.0000)  10 Sm 3.52-3.76, 2 Tm 3.59

Density of states at the Fermi level: 27.14 states/eV/f.u.
Magnetization: 0.0 μB per formula unit
Theoretical density: 7.7 g/cm3



Run two
Pm2Sm12Tm5 | PBE | relaxed

a = 9.2895 Å, b = 12.5076 Å, c = 8.6493 Å
α = 132.84°, β = 90.00°, γ = 111.80°
Closest atoms and distances in Å follow each position.
Atoms (fractional coordinates):
Tm (0.0000, 0.0000, 0.5000)  10 Sm 3.57-3.76, 2 Tm 3.68
Tm (0.6993, 0.3986, 0.3797)  8 Sm 3.44-3.72, 2 Pm 3.55, 1 Tm 3.70
Tm (0.3007, 0.6014, 0.6203)  8 Sm 3.44-3.72, 2 Pm 3.55, 1 Tm 3.70
Tm (0.7698, 0.5395, 0.1101)  8 Sm 3.36-3.56, 2 Tm 3.68-3.70
Tm (0.2302, 0.4605, 0.8899)  8 Sm 3.36-3.56, 2 Tm 3.68-3.70
Sm (0.1798, 0.7470, 0.4110)  4 Tm 3.39-3.74, 5 Sm 3.47-3.60, 1 Pm 3.56
Sm (0.5671, 0.7470, 0.4110)  4 Tm 3.39-3.74, 5 Sm 3.47-3.60, 1 Pm 3.56
Sm (0.9737, 0.3092, 0.0711)  4 Sm 3.36-3.64, 1 Pm 3.44, 4 Tm 3.52-3.76
Sm (0.3355, 0.3092, 0.0711)  4 Sm 3.36-3.64, 1 Pm 3.44, 4 Tm 3.52-3.76
Sm (0.0263, 0.6908, 0.9289)  4 Sm 3.36-3.64, 1 Pm 3.44, 4 Tm 3.52-3.76
Sm (0.4329, 0.2530, 0.5890)  4 Tm 3.39-3.74, 5 Sm 3.47-3.60, 1 Pm 3.56
Sm (0.4373, 0.8746, 0.2123)  2 Tm 3.36-3.53, 7 Sm 3.42-3.49, 2 Pm 3.47
Sm (0.0894, 0.1787, 0.2965)  3 Tm 3.44-3.57, 5 Sm 3.47-3.64, 2 Pm 3.49
Sm (0.8202, 0.2530, 0.5890)  4 Tm 3.39-3.74, 5 Sm 3.47-3.60, 1 Pm 3.56
Sm (0.6645, 0.6908, 0.9289)  4 Sm 3.36-3.64, 1 Pm 3.44, 4 Tm 3.52-3.76
Sm (0.9106, 0.8213, 0.7035)  3 Tm 3.44-3.57, 5 Sm 3.47-3.64, 2 Pm 3.49
Sm (0.5627, 0.1254, 0.7877)  2 Tm 3.36-3.53, 7 Sm 3.42-3.49, 2 Pm 3.47
Pm (0.3246, 0.0000, 0.0000)  1 Pm 3.26, 8 Sm 3.44-3.56, 2 Tm 3.55
Pm (0.6754, 0.0000, 0.0000)  1 Pm 3.26, 8 Sm 3.44-3.56, 2 Tm 3.55

Density of states at the Fermi level: 26.68 states/eV/f.u.
Magnetization: 0.0 μB per formula unit
Theoretical density: 7.7 g/cm3



Most stable structure - run one; separation to the second - 0.015 eV/atom.



Run one
Pm2Sm3Tm4 | PBE | relaxed

a = 6.0827 Å, b = 11.2492 Å, c = 11.2492 Å
α = 62.18°, β = 63.16°, γ = 63.16°
Closest atoms and distances in Å follow each position.
Atoms (fractional coordinates):
Pm (0.5647, 0.7271, 0.4889)  4 Sm 3.34-3.56, 3 Tm 3.39-3.51, 1 Pm 3.54
Pm (0.4353, 0.2729, 0.5111)  4 Sm 3.34-3.56, 3 Tm 3.39-3.51, 1 Pm 3.54
Pm (0.9353, 0.5112, 0.2729)  4 Sm 3.34-3.56, 3 Tm 3.39-3.51, 1 Pm 3.54
Pm (0.0647, 0.4888, 0.7271)  4 Sm 3.34-3.56, 3 Tm 3.39-3.51, 1 Pm 3.54
Sm (0.2500, 0.6444, 0.3556)  4 Tm 3.44-3.84, 6 Pm 3.50-3.56, 2 Sm 3.82
Sm (0.7614, 0.0138, 0.3127)  1 Pm 3.34, 8 Tm 3.38-3.70
Sm (0.7500, 0.3556, 0.6444)  4 Tm 3.44-3.84, 6 Pm 3.50-3.56, 2 Sm 3.82
Sm (0.2386, 0.9862, 0.6873)  1 Pm 3.34, 8 Tm 3.38-3.70
Sm (0.2614, 0.3127, 0.0138)  1 Pm 3.34, 8 Tm 3.38-3.70
Sm (0.7386, 0.6873, 0.9862)  1 Pm 3.34, 8 Tm 3.38-3.70
Tm (0.4025, 0.6206, 0.8450)  4 Sm 3.38-3.56, 2 Pm 3.39-3.43, 2 Tm 3.39-3.60
Tm (0.9025, 0.8450, 0.6206)  4 Sm 3.38-3.56, 2 Pm 3.39-3.43, 2 Tm 3.39-3.60
Tm (0.5975, 0.3794, 0.1550)  4 Sm 3.38-3.56, 2 Pm 3.39-3.43, 2 Tm 3.39-3.60
Tm (0.9223, 0.1705, 0.9494)  3 Tm 3.25-3.39, 4 Sm 3.44-3.57, 1 Pm 3.51
Tm (0.4223, 0.9494, 0.1705)  3 Tm 3.25-3.39, 4 Sm 3.44-3.57, 1 Pm 3.51
Tm (0.0777, 0.8295, 0.0506)  3 Tm 3.25-3.39, 4 Sm 3.44-3.57, 1 Pm 3.51
Tm (0.0975, 0.1550, 0.3794)  4 Sm 3.38-3.56, 2 Pm 3.39-3.43, 2 Tm 3.39-3.60
Tm (0.5777, 0.0506, 0.8295)  3 Tm 3.25-3.39, 4 Sm 3.44-3.57, 1 Pm 3.51

Density of states at the Fermi level: 12.71 states/eV/f.u.
Magnetization: 0.0 μB per formula unit
Theoretical density: 8.1 g/cm3



Run two
Pm2Sm3Tm4 | PBE | relaxed

a = 5.0458 Å, b = 9.4551 Å, c = 7.9765 Å
α = 126.25°, β = 89.96°, γ = 105.48°
Closest atoms and distances in Å follow each position.
Atoms (fractional coordinates):
Tm (0.5570, 0.1142, 0.7780)  6 Sm 3.54-3.59, 4 Tm 3.54-3.56, 2 Pm 3.56-3.60
Tm (0.7783, 0.5562, 0.8921)  4 Sm 3.53-3.58, 5 Tm 3.54-3.55, 3 Pm 3.58-3.60
Tm (0.4430, 0.8858, 0.2220)  6 Sm 3.54-3.59, 4 Tm 3.54-3.56, 2 Pm 3.56-3.60
Tm (0.2217, 0.4438, 0.1079)  4 Sm 3.53-3.58, 5 Tm 3.54-3.55, 3 Pm 3.58-3.60
Pm (0.6664, 0.3325, 0.3320)  5 Sm 3.56-3.59, 5 Tm 3.56-3.60, 2 Pm 3.58
Pm (0.3336, 0.6675, 0.6680)  5 Sm 3.56-3.59, 5 Tm 3.56-3.60, 2 Pm 3.58
Sm (0.0000, 0.0000, 0.0000)  4 Pm 3.56-3.57, 6 Tm 3.58-3.59, 2 Sm 3.59
Sm (0.1112, 0.2224, 0.5581)  7 Tm 3.53-3.59, 2 Sm 3.56-3.59, 3 Pm 3.58-3.59
Sm (0.8888, 0.7776, 0.4419)  7 Tm 3.53-3.59, 2 Sm 3.56-3.59, 3 Pm 3.58-3.59

Density of states at the Fermi level: 12.41 states/eV/f.u.
Magnetization: 0.0 μB per formula unit
Theoretical density: 8.1 g/cm3



Most stable structure - run two; separation to the second - 0.077 eV/atom.